i.
Below is crystalline Nd2Dy7Er at its relaxed geometry, with properties calculated at the PBE level.

The space group is Cmmm (No. 65) and the conventional cell measures 8.931, 14.900 and 5.733 Å, with angles of 90.00, 90.00 and 90.00 degrees. The distinct sites, in fractional coordinates, are Nd at (0.000, 0.211, 0.000), Dy at (0.000, 0.000, 0.000), Dy at (0.000, 0.218, 0.500), Dy at (0.184, 0.387, 0.000) and Er at (0.000, 0.500, 0.500).


ii.
Below is crystalline Nd2Dy7Er at its relaxed geometry, with properties calculated at the PBE level.

The space group is Cmmm (No. 65) and the conventional cell measures 6.506, 28.837 and 3.508 Å, with angles of 90.00, 90.00 and 90.00 degrees. The distinct sites, in fractional coordinates, are Nd at (0.000, 0.207, 0.000), Dy at (0.000, 0.000, 0.000), Dy at (0.000, 0.315, 0.500), Dy at (0.246, 0.403, 0.000) and Er at (0.000, 0.500, 0.500).


Ranked by calculated energy, most stable first: ii, i.